Ba2ZnSb2 (SCAN, single point on PBEsol structure); uncorrected energy = -34.40 eV per atom; total magnetization = 0.000 μB/f.u.; ΔE_f (raw) = -0.973 eV/atom
1.0
-3.576 7.037 3.464
3.576 -7.037 3.464
3.576 7.037 -3.464
Ba Zn Sb
4 2 4
Direct
0.136 0.204 0.341
0.364 0.704 0.068
0.636 0.296 0.932
0.864 0.796 0.659
0.250 0.750 0.500
0.750 0.250 0.500
0.111 0.706 0.817
0.389 0.206 0.595
0.611 0.794 0.405
0.889 0.294 0.183

BaZn2Sb2 (SCAN, single point on PBEsol structure); uncorrected energy = -28.82 eV per atom; total magnetization = 0.000 μB/f.u.; ΔE_f (raw) = -0.596 eV/atom
1.0
10.388 0.000 0.000
0.000 4.490 0.000
0.000 0.000 11.552
Ba Zn Sb
4 8 8
Direct
0.247 0.250 0.179
0.253 0.750 0.679
0.747 0.250 0.321
0.753 0.750 0.821
0.055 0.250 0.879
0.095 0.250 0.454
0.405 0.750 0.954
0.445 0.750 0.379
0.555 0.250 0.621
0.595 0.250 0.046
0.905 0.750 0.546
0.945 0.750 0.121
0.029 0.750 0.337
0.149 0.750 0.965
0.351 0.250 0.465
0.471 0.250 0.837
0.529 0.750 0.163
0.649 0.750 0.535
0.851 0.250 0.035
0.971 0.250 0.663

BaZnSb2 (SCAN, single point on PBEsol structure); uncorrected energy = -32.30 eV per atom; total magnetization = 0.000 μB/f.u.; ΔE_f (raw) = -0.403 eV/atom
1.0
4.889 -2.199 0.000
4.889 2.199 0.000
-2.160 0.000 5.548
Ba Zn Sb
1 1 2
Direct
0.000 0.000 0.000
0.765 0.765 0.340
0.214 0.214 0.629
0.474 0.474 0.463

BaZnSb2 (SCAN, single point on PBEsol structure); uncorrected energy = -32.36 eV per atom; total magnetization = 0.000 μB/f.u.; ΔE_f (raw) = -0.459 eV/atom
1.0
-2.858 2.858 8.727
2.858 -2.858 8.727
2.858 2.858 -8.727
Ba Zn Sb
2 2 4
Direct
0.000 0.000 0.000
0.750 0.250 0.500
0.250 0.750 0.500
0.500 0.500 0.000
0.294 0.625 0.169
0.375 0.544 0.669
0.456 0.125 0.831
0.875 0.706 0.331

BaSc2 (SCAN, single point on PBEsol structure); uncorrected energy = -21.51 eV per atom; total magnetization = 1.124 μB/f.u.; energy of formation from the pure elements = 26.932 kcal/mol of atoms
1.0
5.360 0.000 0.000
0.000 5.360 0.000
0.000 0.000 3.644
Ba Sc
1 2
Direct
0.000 0.000 0.000
0.000 0.500 0.500
0.500 0.000 0.500

Ba3Sc (SCAN, single point on PBEsol structure); uncorrected energy = -32.86 eV per atom; total magnetization = 1.538 μB/f.u.; energy of formation from the pure elements = 8.376 kcal/mol of atoms
1.0
3.981 -5.552 0.000
3.981 5.552 0.000
0.000 0.000 3.997
Ba Sc
3 1
Direct
0.000 0.000 0.000
0.000 0.500 0.500
0.500 0.000 0.500
0.500 0.500 0.000

Ba3Sc (SCAN, single point on PBEsol structure); uncorrected energy = -32.89 eV per atom; total magnetization = 1.161 μB/f.u.; energy of formation from the pure elements = 7.553 kcal/mol of atoms
1.0
3.999 0.000 0.000
-2.000 3.463 0.000
0.000 0.000 12.893
Ba Sc
3 1
Direct
0.000 0.000 0.000
0.667 0.333 0.280
0.667 0.333 0.720
0.000 0.000 0.500

BaSc4 (SCAN, single point on PBEsol structure); uncorrected energy = -18.03 eV per atom; total magnetization = 0.015 μB/f.u.; energy of formation from the pure elements = 29.299 kcal/mol of atoms
1.0
-3.333 3.333 3.333
3.333 -3.333 3.333
3.333 3.333 -3.333
Ba Sc
1 4
Direct
0.000 0.000 0.000
0.000 0.000 0.500
0.000 0.500 0.000
0.500 0.000 0.000
0.500 0.500 0.500

Ba3Sc (SCAN, single point on PBEsol structure); uncorrected energy = -32.88 eV per atom; total magnetization = 0.577 μB/f.u.; energy of formation from the pure elements = 7.900 kcal/mol of atoms
1.0
6.284 0.000 0.000
0.000 6.284 0.000
0.000 0.000 4.576
Ba Sc
3 1
Direct
0.000 0.000 0.000
0.000 0.500 0.500
0.500 0.000 0.500
0.500 0.500 0.000

BaScSe2 (SCAN, single point on PBEsol structure); uncorrected energy = -25.44 eV per atom; total magnetization = 0.000 μB/f.u.; ΔE_f (raw) = -1.958 eV/atom
1.0
2.043 1.180 7.171
-2.043 1.180 7.171
0.000 -2.360 7.171
Ba Sc Se
1 1 2
Direct
0.000 0.000 0.000
0.500 0.500 0.500
0.233 0.233 0.233
0.767 0.767 0.767

BaScSe2 (SCAN, single point on PBEsol structure); uncorrected energy = -25.26 eV per atom; total magnetization = 0.006 μB/f.u.; ΔE_f (raw) = -1.769 eV/atom
1.0
4.102 0.000 0.000
0.000 3.816 0.000
-0.018 0.000 7.331
Ba Sc Se
1 1 2
Direct
0.000 0.000 0.000
0.500 0.000 0.500
0.498 0.500 0.751
0.502 0.500 0.249

BaSc2WSe (SCAN, single point on PBEsol structure); uncorrected energy = -29.49 eV per atom; total magnetization = 0.000 μB/f.u.; ΔE_f (raw) = 2.069 eV/atom
1.0
5.207 0.000 0.000
0.000 5.207 0.000
0.000 0.000 4.937
Ba Sc W Se
1 2 1 1
Direct
0.000 0.000 0.000
0.000 0.500 0.000
0.500 0.000 0.000
0.000 0.000 0.500
0.500 0.500 0.500

Ba3ScSn (SCAN, single point on PBEsol structure); uncorrected energy = -33.55 eV per atom; total magnetization = 2.838 μB/f.u.; energy of formation from the pure elements = 4.872 kcal/mol of atoms
1.0
6.565 0.000 0.000
0.000 6.565 0.000
0.000 0.000 6.565
Ba Sc Sn
3 1 1
Direct
0.000 0.000 0.500
0.000 0.500 0.000
0.500 0.000 0.000
0.500 0.500 0.500
0.000 0.000 0.000

BaSc2Sn2 (SCAN, single point on PBEsol structure); uncorrected energy = -28.65 eV per atom; total magnetization = 0.000 μB/f.u.; energy of formation from the pure elements = -15.547 kcal/mol of atoms
1.0
-2.406 2.406 6.405
2.406 -2.406 6.405
2.406 2.406 -6.405
Ba Sc Sn
1 2 2
Direct
0.000 0.000 0.000
0.250 0.750 0.500
0.750 0.250 0.500
0.380 0.380 0.000
0.620 0.620 0.000